(1)
Entry from Alexandria via LeMat-Bulk: LaPRu at its PBEsol-relaxed geometry (SCAN).

a b c (Å): 3.997 3.997 7.721
angles (deg): 90.00 90.00 90.00
Element x y z (fractional)
La1 0.500 0.000 0.310
Ru1 0.500 0.500 0.000
La2 0.000 0.500 0.690
P1 0.000 0.500 0.162
Ru2 0.000 0.000 0.000
P2 0.500 0.000 0.838

## Properties
N(E_F): 0.056 states/eV/atom
M_tot: 0.00 μB/atom
E_form: -3.4 eV/f.u.



(2)
Entry from Alexandria via LeMat-Bulk: La2AlNi at its PBEsol-relaxed geometry (SCAN).

a b c (Å): 4.397 4.397 6.003
angles (deg): 68.52 68.52 60.00
Element x y z (fractional)
Al1 0.205 0.205 0.385
La1 0.979 0.979 0.064
La2 0.768 0.768 0.696
Ni1 0.548 0.548 0.355

## Properties
N(E_F): 0.885 states/eV/atom
M_tot: 0.00 μB/atom
E_form: -1.3 eV/f.u.



(3)
Entry from Alexandria via LeMat-Bulk: CsSrMo3 at its PBEsol-relaxed geometry (SCAN).

a b c (Å): 4.973 4.973 4.973
angles (deg): 90.00 90.00 90.00
Element x y z (fractional)
Cs1 0.000 0.000 0.000
Mo1 0.500 0.000 0.000
Mo2 0.000 0.000 0.500
Mo3 0.000 0.500 0.000
Sr1 0.500 0.500 0.500

## Properties
N(E_F): 0.831 states/eV/atom
M_tot: 0.69 μB/atom
E_form: 14.2 eV/f.u.